(1)
The following is a DFT calculation (PBE-GGA) of a relaxed CsLiH2Pt crystal.

Values from the calculation:
- theoretical density (kg/m3) = 5978
- E (eV per atom) = -2.4895

Geometry as CIF:
```
data_CsLiH2Pt
_cell_length_a 4.366
_cell_length_b 4.366
_cell_length_c 4.909
_cell_angle_alpha 90.00
_cell_angle_beta 90.00
_cell_angle_gamma 90.00
_space_group_name_H-M_alt 'P 4/m m m'
_space_group_IT_number 123
_space_group_name_Hall '-P 4 2'
loop_
_atom_site_label
_atom_site_type_symbol
_atom_site_fract_x
_atom_site_fract_y
_atom_site_fract_z
Cs1 Cs 0.000 0.000 0.000
Li1 Li 0.500 0.500 0.500
H1 H 0.000 0.500 0.500
Pt1 Pt 0.500 0.500 0.000
```

(2)
The following is a DFT calculation (PBE-GGA) of a relaxed LaNiRu2 crystal.

Values from the calculation:
- theoretical density (kg/m3) = 9997
- E (eV per atom) = -6.6637
- formation enthalpy at 0 K (kJ/mol of atoms) = 62.8

Geometry as CIF:
```
data_LaNiRu2
_cell_length_a 2.8577
_cell_length_b 2.8577
_cell_length_c 28.1643
_cell_angle_alpha 90.00
_cell_angle_beta 90.00
_cell_angle_gamma 120.00
_space_group_name_H-M_alt 'R -3 m'
_space_group_IT_number 166
_space_group_name_Hall '-R 3 2"'
loop_
_atom_site_label
_atom_site_type_symbol
_atom_site_fract_x
_atom_site_fract_y
_atom_site_fract_z
La1 La 0.0000 0.0000 0.0000
Ni1 Ni 0.0000 0.0000 0.5000
Ru1 Ru 0.0000 0.0000 0.2359
```

(3)
The following is a DFT calculation (PBE-GGA) of a relaxed GaPd4Au crystal.

Values from the calculation:
- theoretical density (kg/m3) = 10609
- E (eV per atom) = -4.6268
- formation enthalpy at 0 K (kJ/mol of atoms) = -11.0

Geometry as CIF:
```
data_GaPd4Au
_cell_length_a 5.695
_cell_length_b 6.787
_cell_length_c 11.215
_cell_angle_alpha 90.00
_cell_angle_beta 90.00
_cell_angle_gamma 90.00
_space_group_name_H-M_alt 'I m m a'
_space_group_IT_number 74
_space_group_name_Hall '-I 2b 2'
loop_
_atom_site_label
_atom_site_type_symbol
_atom_site_fract_x
_atom_site_fract_y
_atom_site_fract_z
Ga1 Ga 0.000 0.250 0.104
Pd1 Pd 0.246 0.000 0.500
Pd2 Pd 0.250 0.048 0.250
Au1 Au 0.000 0.250 0.648
```

(4)
The following is a DFT calculation (PBE-GGA) of a relaxed TlBi2Rh crystal.

Values from the calculation:
- theoretical density (kg/m3) = 12194
- E (eV per atom) = -4.1727
- formation enthalpy at 0 K (kJ/mol of atoms) = 19.0

Geometry as CIF:
```
data_TlBi2Rh
_cell_length_a 7.338
_cell_length_b 7.338
_cell_length_c 7.338
_cell_angle_alpha 90.00
_cell_angle_beta 90.00
_cell_angle_gamma 90.00
_space_group_name_H-M_alt 'F m -3 m'
_space_group_IT_number 225
_space_group_name_Hall '-F 4 2 3'
loop_
_atom_site_label
_atom_site_type_symbol
_atom_site_fract_x
_atom_site_fract_y
_atom_site_fract_z
Tl1 Tl 0.000 0.000 0.000
Bi1 Bi 0.250 0.250 0.250
Rh1 Rh 0.000 0.000 0.500
```

(5)
The following is a DFT calculation (PBE-GGA) of a relaxed Pa2TeAu crystal.

Values from the calculation:
- theoretical density (kg/m3) = 13103
- E (eV per atom) = -6.6030

Geometry as CIF:
```
data_Pa2TeAu
_cell_length_a 7.360
_cell_length_b 7.360
_cell_length_c 7.360
_cell_angle_alpha 90.00
_cell_angle_beta 90.00
_cell_angle_gamma 90.00
_space_group_name_H-M_alt 'F m -3 m'
_space_group_IT_number 225
_space_group_name_Hall '-F 4 2 3'
loop_
_atom_site_label
_atom_site_type_symbol
_atom_site_fract_x
_atom_site_fract_y
_atom_site_fract_z
Pa1 Pa 0.250 0.250 0.250
Te1 Te 0.000 0.000 0.000
Au1 Au 0.000 0.000 0.500
```

(6)
The following is a DFT calculation (PBE-GGA) of a relaxed CsGe3H crystal.

Values from the calculation:
- theoretical density (kg/m3) = 5221
- E (eV per atom) = -2.9033

Geometry as CIF:
```
data_CsGe3H
_cell_length_a 4.819
_cell_length_b 4.819
_cell_length_c 4.819
_cell_angle_alpha 90.00
_cell_angle_beta 90.00
_cell_angle_gamma 90.00
_space_group_name_H-M_alt 'P m -3 m'
_space_group_IT_number 221
_space_group_name_Hall '-P 4 2 3'
loop_
_atom_site_label
_atom_site_type_symbol
_atom_site_fract_x
_atom_site_fract_y
_atom_site_fract_z
Cs1 Cs 0.000 0.000 0.000
Ge1 Ge 0.000 0.500 0.500
H1 H 0.500 0.500 0.500
```

(7)
The following is a DFT calculation (PBE-GGA) of a relaxed Ho2TmSnC crystal.

Values from the calculation:
- theoretical density (kg/m3) = 9191
- E (eV per atom) = -6.0208
- formation enthalpy at 0 K (kJ/mol of atoms) = -62.7

Geometry as CIF:
```
data_Ho2TmSnC
_cell_length_a 4.862
_cell_length_b 4.862
_cell_length_c 4.811
_cell_angle_alpha 90.00
_cell_angle_beta 90.00
_cell_angle_gamma 90.00
_space_group_name_H-M_alt 'P 4/m m m'
_space_group_IT_number 123
_space_group_name_Hall '-P 4 2'
loop_
_atom_site_label
_atom_site_type_symbol
_atom_site_fract_x
_atom_site_fract_y
_atom_site_fract_z
Ho1 Ho 0.000 0.500 0.000
Tm1 Tm 0.000 0.000 0.500
Sn1 Sn 0.500 0.500 0.500
C1 C 0.000 0.000 0.000
```

(8)
The following is a DFT calculation (PBE-GGA) of a relaxed BeTl3Au crystal.

Values from the calculation:
- theoretical density (kg/m3) = 10795
- E (eV per atom) = -2.5020
- formation enthalpy at 0 K (kJ/mol of atoms) = 30.7

Geometry as CIF:
```
data_BeTl3Au
_cell_length_a 5.013
_cell_length_b 5.013
_cell_length_c 5.013
_cell_angle_alpha 90.00
_cell_angle_beta 90.00
_cell_angle_gamma 90.00
_space_group_name_H-M_alt 'P m -3 m'
_space_group_IT_number 221
_space_group_name_Hall '-P 4 2 3'
loop_
_atom_site_label
_atom_site_type_symbol
_atom_site_fract_x
_atom_site_fract_y
_atom_site_fract_z
Be1 Be 0.000 0.000 0.000
Tl1 Tl 0.000 0.000 0.500
Au1 Au 0.500 0.500 0.500
```